Record 1
CdRe3: relaxed, PBE.

CIF file:
```
data_CdRe3
_space_group_name_H-M_alt 'I 4/m m m'
_space_group_IT_number 139
_space_group_name_Hall '-I 4 2'
_cell_length_a 4.0031
_cell_length_b 4.0031
_cell_length_c 16.0280
_cell_angle_alpha 90.00
_cell_angle_beta 90.00
_cell_angle_gamma 90.00
loop_
_atom_site_label
_atom_site_type_symbol
_atom_site_fract_x
_atom_site_fract_y
_atom_site_fract_z
_atom_site_occupancy
Cd1 Cd 0.0000 0.0000 0.1215 1
Re1 Re 0.0000 0.0000 0.3618 1
Re2 Re 0.0000 0.5000 0.0000 1
Re3 Re 0.0000 0.5000 0.2500 1
```

Values from the calculation:
Excess energy over the best structure of this formula in the dataset (meV/atom): 413
Total magnetization (Bohr magnetons per cell): 0.0
D(E_F) (states/eV per cell): 16.027
Energy relative to the elements (eV/f.u.): 2.7
ρ (g cm⁻³): 17.35


Record 2
CdRe: relaxed, PBE.

CIF file:
```
data_CdRe
_space_group_name_H-M_alt 'P 63/m m c'
_space_group_IT_number 194
_space_group_name_Hall '-P 6c 2c'
_cell_length_a 4.6150
_cell_length_b 4.6150
_cell_length_c 5.3629
_cell_angle_alpha 90.00
_cell_angle_beta 90.00
_cell_angle_gamma 120.00
loop_
_atom_site_label
_atom_site_type_symbol
_atom_site_fract_x
_atom_site_fract_y
_atom_site_fract_z
_atom_site_occupancy
Cd1 Cd 0.3333 0.6667 0.2500 1
Re1 Re 0.3333 0.6667 0.7500 1
```

Values from the calculation:
Excess energy over the best structure of this formula in the dataset (meV/atom): 2235
Total magnetization (Bohr magnetons per cell): 1.7
D(E_F) (states/eV per cell): 5.573
Energy relative to the elements (eV/f.u.): 4.9
ρ (g cm⁻³): 10.03